Compound: CoAsIr2
Source: Alexandria via LeMat-Bulk
Functional: PBE
Structure: optimized geometry

Output
* total magnetic moment: 1.57 μB/f.u.
* VASP energy: -7.2109 eV/atom
* ρ: 15.4 g/cm³

abc: 8.2677 8.2677 8.2677
angles: 19.63 19.63 19.63
With the nearest neighbours (Å) after each atom.
Fractional positions:
Co  0.0000  0.0000  0.0000  3 As 2.43, 3 Ir 2.61
As  0.7407  0.7407  0.7407  3 Co 2.43, 3 Ir 2.60
Ir  0.2496  0.2496  0.2496  3 Co 2.61, 9 Ir 2.77-2.82
Ir  0.4907  0.4907  0.4907  3 As 2.60, 9 Ir 2.77-2.82


Compound: CoAs2Ir
Source: Alexandria via LeMat-Bulk
Functional: PBE
Structure: optimized geometry

Output
* total magnetic moment: 1.39 μB/f.u.
* ΔE to the lowest computed polymorph: 439 meV/atom
* ρ: 9.9 g/cm³

abc: 2.8119 2.8119 9.8034
angles: 90.00 90.00 119.78
With the nearest neighbours (Å) after each atom.
Fractional positions:
Co  0.0000  0.0000  0.0000  2 As 2.38, 2 Ir 2.58
As  0.0000  0.0000  0.5615  2 Ir 2.56, 6 As 2.81-2.82
As  0.5000  0.5000  0.1960  2 Co 2.38
Ir  0.5000  0.5000  0.7795  2 As 2.56, 2 Co 2.58, 6 Ir 2.81-2.82


Compound: CoAsIr2
Source: Alexandria via LeMat-Bulk
Functional: PBE
Structure: optimized geometry

Output
* total magnetic moment: 2.22 μB/f.u.
* VASP energy: -7.1828 eV/atom
* ρ: 15.3 g/cm³

abc: 2.8565 3.5031 5.6294
angles: 90.00 90.00 90.00
With the nearest neighbours (Å) after each atom.
Fractional positions:
Co  0.0000  0.0000  0.0000  8 Ir 2.63, 2 As 2.81, 2 Co 2.86
As  0.0000  0.0000  0.5000  8 Ir 2.70, 2 Co 2.81, 2 As 2.86
Ir  0.5000  0.5000  0.2382  4 Co 2.63, 3 Ir 2.68-2.86, 4 As 2.70
Ir  0.5000  0.5000  0.7618  4 Co 2.63, 3 Ir 2.68-2.86, 4 As 2.70


Compound: CoAsIr2
Source: Alexandria via LeMat-Bulk
Functional: PBE
Structure: optimized geometry

Output
* total magnetic moment: 0.00 μB/f.u.
* VASP energy: -7.2520 eV/atom
* ρ: 15.7 g/cm³

abc: 3.8778 3.8778 3.6382
angles: 90.00 90.00 90.00
With the nearest neighbours (Å) after each atom.
Fractional positions:
Co  0.0000  0.0000  0.0000  8 Ir 2.66, 4 As 2.74
As  0.5000  0.5000  0.0000  8 Ir 2.66, 4 Co 2.74
Ir  0.0000  0.5000  0.5000  4 As 2.66, 4 Co 2.66, 4 Ir 2.74
Ir  0.5000  0.0000  0.5000  4 As 2.66, 4 Co 2.66, 4 Ir 2.74